Entry from Alexandria: a relaxed structure of InAuBr3 (PBE).

Cell and atoms, written as extended XYZ:
```
5
Lattice="-0.2827 -1.9977 4.9849 2.4820 -4.4753 -1.6528 4.7624 2.2139 1.1572" Properties=species:S:1:pos:R:3 pbc="T T T"
Au 0.0000 0.0000 0.0000
In 3.4809 -2.1296 2.2447
Br -0.1413 -0.9989 2.4925
Br 1.2410 -2.2377 -0.8264
Br 2.3812 1.1069 0.5786
```

Total moment = 0.0 μB/f.u.
E above lowest polymorph = 0.000 eV per atom
D(E_F) = 0.1937 states/eV per atom
Uncorrected formation energy = -0.3047 eV per atom